Computed, not measured: a relaxed Na3In3PtO8 crystal at the PBE level of DFT.

Properties
The density of states at the Fermi level is 0.000 states/eV/cell. The value obtained for the total energy is -5.31 eV per atom. Its total magnetic moment is 0.000 μB/cell. The uncorrected formation energy is -21.76 eV per formula unit. The space-group type is R-3m.

abc: 6.6818 6.6818 6.6818
angles: 58.41 58.41 58.41
With the nearest neighbours (Å) after each atom.
Fractional coordinates of all 15 atoms:
Na 0.0000 0.5000 0.5000  6 O 2.46-2.47
Na 0.5000 0.0000 0.5000  6 O 2.46-2.47
Na 0.5000 0.5000 0.0000  6 O 2.46-2.47
In 0.0000 0.0000 0.5000  6 O 2.22-2.24
In 0.0000 0.5000 0.0000  6 O 2.22-2.24
In 0.5000 0.0000 0.0000  6 O 2.22-2.24
Pt 0.5000 0.5000 0.5000  6 O 2.07
O 0.2378 0.2378 0.2378  3 In 2.22, 3 Na 2.46
O 0.2558 0.7212 0.7212  1 Pt 2.07, 2 In 2.24
O 0.2788 0.2788 0.7442  1 Pt 2.07, 2 In 2.24
O 0.2788 0.7442 0.2788  1 Pt 2.07, 2 In 2.24
O 0.7212 0.2558 0.7212  1 Pt 2.07, 2 In 2.24
O 0.7212 0.7212 0.2558  1 Pt 2.07, 2 In 2.24
O 0.7442 0.2788 0.2788  1 Pt 2.07, 2 In 2.24
O 0.7622 0.7622 0.7622  3 In 2.22, 3 Na 2.46